Below is an optimized crystal structure of Li2InCu2Ag2Sn, with properties calculated at the GGA-PBE level.

Geometry as CIF:
```
data_Li2InCu2Ag2Sn
_space_group_name_H-M_alt 'P 1'
_space_group_IT_number 1
_space_group_name_Hall 'P 1'
_cell_length_a 4.5526
_cell_length_b 4.5526
_cell_length_c 6.4303
_cell_angle_alpha 90.00
_cell_angle_beta 90.00
_cell_angle_gamma 90.00
loop_
_atom_site_label
_atom_site_fract_x
_atom_site_fract_y
_atom_site_fract_z
Li1 0.0000 0.0000 0.0000
Li2 0.5000 0.5000 0.5000
In1 0.0000 0.0000 0.5000
Cu1 0.0000 0.5000 0.2506
Cu2 0.5000 0.0000 0.7494
Ag1 0.0000 0.5000 0.7489
Ag2 0.5000 0.0000 0.2511
Sn1 0.5000 0.5000 0.0000
```

Computed properties:
The value obtained for the electronic total energy is -3.111 eV/atom.